A relaxed ScAgSnGe2 crystal, computed with GGA-PBE.

ΔH_f (0 K): 0.52 eV/atom

Geometry as CIF:
```
data_ScAgSnGe2
_chemical_formula_sum 'Sc1 Ag1 Sn1 Ge2'
_symmetry_space_group_name_H-M 'P 1'
_symmetry_Int_Tables_number 1
_symmetry_space_group_name_Hall 'P 1'
_cell_length_a 5.1063
_cell_length_b 5.1063
_cell_length_c 5.2572
_cell_angle_alpha 90.00
_cell_angle_beta 90.00
_cell_angle_gamma 90.00
loop_
_atom_site_label
_atom_site_fract_x
_atom_site_fract_y
_atom_site_fract_z
Sc1 0.0000 0.0000 0.0000
Ag1 0.0000 0.0000 0.5000
Sn1 0.5000 0.5000 0.5000
Ge1 0.0000 0.5000 0.0000
Ge2 0.5000 0.0000 0.0000
```

***

A relaxed YSc2AgGe crystal, computed with GGA-PBE.

ΔH_f (0 K): 0.07 eV/atom

Geometry as CIF:
```
data_YSc2AgGe
_chemical_formula_sum 'Y1 Sc2 Ag1 Ge1'
_symmetry_space_group_name_H-M 'P 1'
_symmetry_Int_Tables_number 1
_symmetry_space_group_name_Hall 'P 1'
_cell_length_a 5.1390
_cell_length_b 5.1390
_cell_length_c 4.9681
_cell_angle_alpha 90.00
_cell_angle_beta 90.00
_cell_angle_gamma 90.00
loop_
_atom_site_label
_atom_site_fract_x
_atom_site_fract_y
_atom_site_fract_z
Y1 0.0000 0.0000 0.0000
Sc1 0.0000 0.5000 0.5000
Sc2 0.5000 0.0000 0.5000
Ag1 0.5000 0.5000 0.0000
Ge1 0.5000 0.5000 0.5000
```

***

A relaxed ScZnAgGe crystal, computed with GGA-PBE.

ΔH_f (0 K): -0.25 eV/atom

Geometry as CIF:
```
data_ScZnAgGe
_chemical_formula_sum 'Sc1 Zn1 Ag1 Ge1'
_symmetry_space_group_name_H-M 'P 1'
_symmetry_Int_Tables_number 1
_symmetry_space_group_name_Hall 'P 1'
_cell_length_a 4.6577
_cell_length_b 4.6577
_cell_length_c 4.6577
_cell_angle_alpha 60.00
_cell_angle_beta 60.00
_cell_angle_gamma 60.00
loop_
_atom_site_label
_atom_site_fract_x
_atom_site_fract_y
_atom_site_fract_z
Sc1 0.0000 0.0000 0.0000
Zn1 0.2500 0.2500 0.2500
Ag1 0.5000 0.5000 0.5000
Ge1 0.7500 0.7500 0.7500
```

***

A relaxed AgGe4Se7 crystal, computed with GGA-PBE.

formation energy from raw total energies: -157 meV/atom

Geometry as CIF:
```
data_AgGe4Se7
_chemical_formula_sum 'Ag2 Ge8 Se14'
_symmetry_space_group_name_H-M 'P 1'
_symmetry_Int_Tables_number 1
_symmetry_space_group_name_Hall 'P 1'
_cell_length_a 15.7750
_cell_length_b 6.7372
_cell_length_c 7.2677
_cell_angle_alpha 90.00
_cell_angle_beta 90.00
_cell_angle_gamma 90.00
loop_
_atom_site_label
_atom_site_fract_x
_atom_site_fract_y
_atom_site_fract_z
Ag1 0.0000 0.2313 0.0000
Ag2 0.5000 0.7687 0.5000
Ge1 0.1261 0.7168 0.8840
Ge2 0.2401 0.7596 0.3798
Ge3 0.2599 0.2404 0.8798
Ge4 0.3739 0.2832 0.3840
Ge5 0.6261 0.2832 0.3840
Ge6 0.7401 0.2404 0.8798
Ge7 0.7599 0.7596 0.3798
Ge8 0.8739 0.7168 0.8840
Se1 0.0000 0.8506 0.0443
Se2 0.1056 0.6891 0.5627
Se3 0.1410 0.4129 0.0627
Se4 0.2499 0.1108 0.4900
Se5 0.2501 0.8892 0.9900
Se6 0.3590 0.5871 0.5627
Se7 0.3944 0.3110 0.0627
Se8 0.5000 0.1494 0.5443
Se9 0.6056 0.3110 0.0627
Se10 0.6410 0.5871 0.5627
Se11 0.7501 0.1108 0.4900
Se12 0.7499 0.8892 0.9900
Se13 0.8590 0.4129 0.0627
Se14 0.8944 0.6891 0.5627
```

***

The records above give, respectively, ρ values of 5.049; 4.548; 6.760; 4.090 g/cm³.